No. 1
Here is HoMg10Zn3 after structural relaxation from Alexandria via LeMat-Bulk. Energies are from PBE-GGA. Values from VASP.

Calculated values
crystal system: cubic
E_form: 0.3 eV per formula unit
magnetic moment: 0.00 μB per cell

Structure (Quantum ESPRESSO input):
```
&SYSTEM
  ibrav = 0, nat = 28, ntyp = 3
/
ATOMIC_SPECIES
Zn 65.41 Zn.upf
Ho 164.93 Ho.upf
Mg 24.30 Mg.upf
ATOMIC_POSITIONS crystal
Zn 0.731 0.269 0.269
Zn 0.269 0.731 0.731
Zn 0.731 0.731 0.269
Zn 0.731 0.269 0.731
Zn 0.269 0.731 0.269
Zn 0.269 0.269 0.731
Ho 0.250 0.250 0.250
Ho 0.750 0.750 0.750
Mg 0.845 0.385 0.385
Mg 0.615 0.615 0.155
Mg 0.655 0.000 0.345
Mg 0.345 0.655 0.000
Mg 0.385 0.845 0.385
Mg 0.000 0.345 0.000
Mg 0.000 0.655 0.000
Mg 0.655 0.000 0.000
Mg 0.615 0.615 0.615
Mg 0.000 0.655 0.345
Mg 0.385 0.385 0.845
Mg 0.385 0.385 0.385
Mg 0.655 0.345 0.000
Mg 0.000 0.000 0.345
Mg 0.345 0.000 0.655
Mg 0.000 0.345 0.655
Mg 0.615 0.155 0.615
Mg 0.345 0.000 0.000
Mg 0.000 0.000 0.655
Mg 0.155 0.615 0.615
CELL_PARAMETERS angstrom
-8.838 0.360 -4.020
-6.578 -6.834 2.107
-7.731 2.215 5.453
```

No. 2
Here is Cu2Hg3O4 after structural relaxation from Alexandria via LeMat-Bulk. Energies are from PBE-GGA. Values from VASP.

Calculated values
crystal system: monoclinic
formation energy (no corrections): -270 meV/atom
magnetic moment: 0.00 μB per cell

Structure (Quantum ESPRESSO input):
```
&SYSTEM
  ibrav = 0, nat = 18, ntyp = 3
/
ATOMIC_SPECIES
Hg 200.59 Hg.upf
O 16.00 O.upf
Cu 63.55 Cu.upf
ATOMIC_POSITIONS crystal
Hg 0.963 0.937 0.240
Hg 0.037 0.063 0.760
Hg 0.463 0.240 0.937
Hg 0.537 0.760 0.063
Hg 0.750 0.473 0.527
Hg 0.250 0.527 0.473
O 0.502 0.616 0.792
O 0.998 0.208 0.384
O 0.056 0.327 0.920
O 0.944 0.673 0.080
O 0.444 0.080 0.673
O 0.002 0.792 0.616
O 0.556 0.920 0.327
O 0.498 0.384 0.208
Cu 0.481 0.211 0.427
Cu 0.019 0.573 0.789
Cu 0.981 0.427 0.211
Cu 0.519 0.789 0.573
CELL_PARAMETERS angstrom
-3.088 -4.170 -4.717
1.362 -5.524 3.452
-5.937 0.421 2.976
```

No. 3
Here is LiTcRu2 after structural relaxation from Alexandria via LeMat-Bulk. Energies are from PBE-GGA. Values from VASP.

Calculated values
crystal system: orthorhombic
E_form: 1.5 eV per formula unit
relative energy among the computed polymorphs: 25.9 kJ/mol of atoms
magnetic moment: 0.00 μB per cell

Structure (Quantum ESPRESSO input):
```
&SYSTEM
  ibrav = 0, nat = 4, ntyp = 3
/
ATOMIC_SPECIES
Ru 101.07 Ru.upf
Tc 98.00 Tc.upf
Li 6.94 Li.upf
ATOMIC_POSITIONS crystal
Ru 0.000 0.000 0.000
Ru 0.500 0.500 0.000
Tc 0.500 0.000 0.500
Li 0.000 0.500 0.500
CELL_PARAMETERS angstrom
2.754 0.000 0.000
0.000 4.506 0.000
0.000 0.000 4.422
```

No. 4
Here is Mn2Be16Ni after structural relaxation from Alexandria via LeMat-Bulk. Energies are from PBE-GGA. Values from VASP.

Calculated values
crystal system: trigonal
E_form: -2.6 eV per formula unit
magnetic moment: 4.69 μB per cell

Structure (Quantum ESPRESSO input):
```
&SYSTEM
  ibrav = 0, nat = 19, ntyp = 3
/
ATOMIC_SPECIES
Ni 58.69 Ni.upf
Be 9.01 Be.upf
Mn 54.94 Mn.upf
ATOMIC_POSITIONS crystal
Ni 0.908 0.908 0.908
Be 0.653 0.653 0.158
Be 0.000 0.502 0.000
Be 0.999 0.696 0.303
Be 0.158 0.653 0.653
Be 0.837 0.349 0.349
Be 0.696 0.999 0.303
Be 0.502 0.000 0.000
Be 0.106 0.106 0.106
Be 0.000 0.000 0.502
Be 0.303 0.999 0.696
Be 0.349 0.349 0.837
Be 0.303 0.696 0.999
Be 0.349 0.837 0.349
Be 0.653 0.158 0.653
Be 0.999 0.303 0.696
Be 0.696 0.303 0.999
Mn 0.656 0.656 0.656
Mn 0.334 0.334 0.334
CELL_PARAMETERS angstrom
-1.247 -1.660 -5.067
-2.872 -4.447 1.400
-4.980 2.259 -0.278
```

Repeat the first record exactly.
Here is HoMg10Zn3 after structural relaxation from Alexandria via LeMat-Bulk. Energies are from PBE-GGA. Values from VASP.

Calculated values
crystal system: cubic
E_form: 0.3 eV per formula unit
magnetic moment: 0.00 μB per cell

Structure (Quantum ESPRESSO input):
```
&SYSTEM
  ibrav = 0, nat = 28, ntyp = 3
/
ATOMIC_SPECIES
Zn 65.41 Zn.upf
Ho 164.93 Ho.upf
Mg 24.30 Mg.upf
ATOMIC_POSITIONS crystal
Zn 0.731 0.269 0.269
Zn 0.269 0.731 0.731
Zn 0.731 0.731 0.269
Zn 0.731 0.269 0.731
Zn 0.269 0.731 0.269
Zn 0.269 0.269 0.731
Ho 0.250 0.250 0.250
Ho 0.750 0.750 0.750
Mg 0.845 0.385 0.385
Mg 0.615 0.615 0.155
Mg 0.655 0.000 0.345
Mg 0.345 0.655 0.000
Mg 0.385 0.845 0.385
Mg 0.000 0.345 0.000
Mg 0.000 0.655 0.000
Mg 0.655 0.000 0.000
Mg 0.615 0.615 0.615
Mg 0.000 0.655 0.345
Mg 0.385 0.385 0.845
Mg 0.385 0.385 0.385
Mg 0.655 0.345 0.000
Mg 0.000 0.000 0.345
Mg 0.345 0.000 0.655
Mg 0.000 0.345 0.655
Mg 0.615 0.155 0.615
Mg 0.345 0.000 0.000
Mg 0.000 0.000 0.655
Mg 0.155 0.615 0.615
CELL_PARAMETERS angstrom
-8.838 0.360 -4.020
-6.578 -6.834 2.107
-7.731 2.215 5.453
```

magnetic moment of number 1 (HoMg10Zn3)? 0.00 μB per cell